*a*
TcTe3Os: optimized geometry, GGA-PBE.

Calculated values
Symmetry: Pm-3m (221)
Total moment in μB/f.u.: 0.0
N(E_F) in states/eV/f.u.: 7.1

Cell and atoms, written as POSCAR:
```
TcTe3Os
1.0
5.104 0.000 0.000
0.000 5.104 0.000
0.000 0.000 5.104
Tc Te Os
1 3 1
Cartesian
0.000 0.000 0.000 Tc
0.000 2.552 2.552 Te
2.552 0.000 2.552 Te
2.552 2.552 0.000 Te
2.552 2.552 2.552 Os
```



*b*
TcTe3Os: optimized geometry, GGA-PBE.

Calculated values
Symmetry: Pm-3m (221)
Total moment in μB/f.u.: 0.0
N(E_F) in states/eV/f.u.: 5.6

Cell and atoms, written as POSCAR:
```
TcTe3Os
1.0
5.058 0.000 0.000
0.000 5.058 0.000
0.000 0.000 5.058
Tc Te Os
1 3 1
Cartesian
0.000 0.000 0.000 Tc
0.000 0.000 2.529 Te
0.000 2.529 0.000 Te
2.529 0.000 0.000 Te
2.529 2.529 2.529 Os
```



Most stable one: *a*, least stable one: *b*.



*a*
Tc2Te2Os: optimized geometry, GGA-PBE.

Calculated values
Symmetry: I4/mmm (139)
Total moment in μB/f.u.: 0.7
N(E_F) in states/eV/f.u.: 4.8

Cell and atoms, written as POSCAR:
```
Tc2Te2Os
1.0
4.143 0.000 0.000
0.000 4.143 0.000
0.000 0.000 11.494
Tc Te Os
4 4 2
Cartesian
0.000 0.000 1.198 Tc
0.000 0.000 10.295 Tc
2.072 2.072 4.548 Tc
2.072 2.072 6.945 Tc
0.000 2.072 2.873 Te
0.000 2.072 8.620 Te
2.072 0.000 2.873 Te
2.072 0.000 8.620 Te
0.000 0.000 5.747 Os
2.072 2.072 0.000 Os
```



*b*
Tc2Te2Os: optimized geometry, GGA-PBE.

Calculated values
Symmetry: P4/mbm (127)
Total moment in μB/f.u.: 0.0
N(E_F) in states/eV/f.u.: 4.6

Cell and atoms, written as POSCAR:
```
Tc2Te2Os
1.0
6.820 0.000 0.000
0.000 6.820 0.000
0.000 0.000 4.018
Tc Te Os
4 4 2
Cartesian
0.889 2.521 0.000 Tc
2.521 5.931 0.000 Tc
4.299 0.889 0.000 Tc
5.931 4.299 0.000 Tc
1.183 4.593 2.009 Te
2.227 1.183 2.009 Te
4.593 5.636 2.009 Te
5.636 2.227 2.009 Te
0.000 0.000 0.000 Os
3.410 3.410 0.000 Os
```



Most stable one: *b*, least stable one: *a*.



*a*
ThTcOs: optimized geometry, GGA-PBE.

Calculated values
Symmetry: Imma (74)
Total moment in μB/f.u.: 0.0
N(E_F) in states/eV/f.u.: 3.6

Cell and atoms, written as POSCAR:
```
ThTcOs
1.0
5.073 0.000 0.000
0.000 5.669 0.000
0.000 0.000 8.098
Th Tc Os
4 4 4
Cartesian
0.000 1.417 1.002 Th
0.000 4.252 7.095 Th
2.537 1.417 3.046 Th
2.537 4.252 5.051 Th
1.268 1.417 6.073 Tc
1.268 4.252 2.024 Tc
3.805 1.417 6.073 Tc
3.805 4.252 2.024 Tc
0.000 0.000 4.049 Os
0.000 2.835 4.049 Os
2.537 0.000 0.000 Os
2.537 2.835 0.000 Os
```



*b*
ThTcOs: optimized geometry, GGA-PBE.

Calculated values
Symmetry: P3m1 (156)
Total moment in μB/f.u.: 0.0
N(E_F) in states/eV/f.u.: 3.4

Cell and atoms, written as POSCAR:
```
ThTcOs
1.0
4.137 0.000 0.000
-2.068 3.582 0.000
0.000 0.000 4.508
Th Tc Os
1 1 1
Cartesian
0.000 0.000 0.000 Th
2.068 1.194 2.014 Tc
0.000 2.388 2.532 Os
```



*c*
ThTcOs: optimized geometry, GGA-PBE.

Calculated values
Symmetry: Cmcm (63)
Total moment in μB/f.u.: 0.0
N(E_F) in states/eV/f.u.: 3.2

Cell and atoms, written as POSCAR:
```
ThTcOs
1.0
3.932 0.000 0.000
0.000 15.327 0.000
0.000 0.000 4.087
Th Tc Os
4 4 4
Cartesian
0.000 1.375 1.022 Th
0.000 13.953 3.065 Th
1.966 6.289 3.065 Th
1.966 9.038 1.022 Th
0.000 5.583 1.022 Tc
0.000 9.744 3.065 Tc
1.966 2.081 3.065 Tc
1.966 13.247 1.022 Tc
0.000 3.802 3.065 Os
0.000 11.526 1.022 Os
1.966 3.862 1.022 Os
1.966 11.465 3.065 Os
```



Most stable one: *a*, least stable one: *c*.



*a*
TiTcOs2: optimized geometry, GGA-PBE.

Calculated values
Symmetry: Fm-3m (225)
Total moment in μB/f.u.: 0.0
N(E_F) in states/eV/f.u.: 7.7

Cell and atoms, written as POSCAR:
```
TiTcOs2
1.0
6.186 0.000 0.000
0.000 6.186 0.000
0.000 0.000 6.186
Ti Tc Os
4 4 8
Cartesian
0.000 0.000 0.000 Ti
0.000 3.093 3.093 Ti
3.093 0.000 3.093 Ti
3.093 3.093 0.000 Ti
0.000 0.000 3.093 Tc
0.000 3.093 0.000 Tc
3.093 0.000 0.000 Tc
3.093 3.093 3.093 Tc
1.547 1.547 1.547 Os
1.547 1.547 4.640 Os
1.547 4.640 1.547 Os
1.547 4.640 4.640 Os
4.640 1.547 1.547 Os
4.640 1.547 4.640 Os
4.640 4.640 1.547 Os
4.640 4.640 4.640 Os
```



*b*
TiTcOs2: optimized geometry, GGA-PBE.

Calculated values
Symmetry: I-42d (122)
Total moment in μB/f.u.: 0.0
N(E_F) in states/eV/f.u.: 4.3

Cell and atoms, written as POSCAR:
```
TiTcOs2
1.0
5.612 0.000 0.000
0.000 5.612 0.000
0.000 0.000 11.345
Ti Tc Os
4 4 8
Cartesian
0.000 0.000 0.000 Ti
0.000 2.806 2.836 Ti
2.806 0.000 8.509 Ti
2.806 2.806 5.673 Ti
0.000 0.000 5.673 Tc
0.000 2.806 8.509 Tc
2.806 0.000 2.836 Tc
2.806 2.806 0.000 Tc
1.318 1.403 7.091 Os
1.403 4.124 9.927 Os
1.403 4.294 4.255 Os
1.488 1.403 1.418 Os
4.124 4.209 1.418 Os
4.209 1.318 4.255 Os
4.209 1.488 9.927 Os
4.294 4.209 7.091 Os
```



Most stable one: *a*, least stable one: *b*.



*a*
Ti4TcOs: optimized geometry, GGA-PBE.

Calculated values
Symmetry: P4/mmm (123)
Total moment in μB/f.u.: 0.0
N(E_F) in states/eV/f.u.: 9.3

Cell and atoms, written as POSCAR:
```
Ti4TcOs
1.0
3.122 0.000 0.000
0.000 3.122 0.000
0.000 0.000 9.597
Ti Tc Os
4 1 1
Cartesian
0.000 0.000 1.471 Ti
0.000 0.000 8.126 Ti
1.561 1.561 3.298 Ti
1.561 1.561 6.299 Ti
1.561 1.561 0.000 Tc
0.000 0.000 4.799 Os
```



*b*
Ti4TcOs: optimized geometry, GGA-PBE.

Calculated values
Symmetry: C2/m (12)
Total moment in μB/f.u.: 0.0
N(E_F) in states/eV/f.u.: 8.3

Cell and atoms, written as POSCAR:
```
Ti4TcOs
1.0
7.426 0.000 0.000
0.000 4.276 0.000
-2.462 0.000 6.920
Ti Tc Os
8 2 2
Cartesian
0.005 0.000 2.589 Ti
-1.226 2.138 6.059 Ti
2.477 0.000 0.860 Ti
1.246 2.138 4.330 Ti
2.486 0.000 6.059 Ti
3.718 2.138 2.589 Ti
4.959 0.000 4.330 Ti
6.190 2.138 0.860 Ti
0.000 0.000 0.000 Tc
3.713 2.138 0.000 Tc
-1.231 2.138 3.460 Os
2.482 0.000 3.460 Os
```



Most stable one: *a*, least stable one: *b*.



*a*
TiVTcOs: optimized geometry, GGA-PBE.

Calculated values
Symmetry: F-43m (216)
Total moment in μB/f.u.: 0.0
N(E_F) in states/eV/f.u.: 1.8

Cell and atoms, written as POSCAR:
```
TiVTcOs
1.0
6.115 0.000 0.000
0.000 6.115 0.000
0.000 0.000 6.115
Ti V Tc Os
4 4 4 4
Cartesian
0.000 0.000 0.000 Ti
0.000 3.058 3.058 Ti
3.058 0.000 3.058 Ti
3.058 3.058 0.000 Ti
0.000 0.000 3.058 V
0.000 3.058 0.000 V
3.058 0.000 0.000 V
3.058 3.058 3.058 V
1.529 1.529 4.586 Tc
1.529 4.586 1.529 Tc
4.586 1.529 1.529 Tc
4.586 4.586 4.586 Tc
1.529 1.529 1.529 Os
1.529 4.586 4.586 Os
4.586 1.529 4.586 Os
4.586 4.586 1.529 Os
```



*b*
TiVTcOs: optimized geometry, GGA-PBE.

Calculated values
Symmetry: Pmmm (47)
Total moment in μB/f.u.: 0.0
N(E_F) in states/eV/f.u.: 1.2

Cell and atoms, written as POSCAR:
```
TiVTcOs
1.0
3.058 0.000 0.000
0.000 4.326 0.000
0.000 0.000 4.328
Ti V Tc Os
1 1 1 1
Cartesian
0.000 0.000 0.000 Ti
0.000 2.163 2.164 V
1.529 2.163 0.000 Tc
1.529 0.000 2.164 Os
```



Most stable one: *a*, least stable one: *b*.